Entry 1:
DFT (PBE) results for K4Ac3ThS8 after structural relaxation.

The structure belongs to space group R-3m (No. 166, hexagonal axes); the cell edges are 8.7023, 8.7023 and 22.2556 Å and the angles 90.00°, 90.00° and 120.00°. The inequivalent atoms are K at (0.0000, 0.0000, 0.0000), K at (0.0000, 0.5000, 0.0000), Ac at (0.0000, 0.5000, 0.5000), Th at (0.0000, 0.0000, 0.5000), S at (0.0000, 0.0000, 0.2401) and S at (0.0174, 0.5087, 0.2371).

As for the calculated volume: 1460 Å³/cell. The value obtained for the energy relative to the elements, uncorrected is -29.181 eV per formula unit. The crystal system is trigonal. The value obtained for the total energy is -5.396 eV per atom.


Entry 2:
DFT (PBE) results for K2AcTiS4 after structural relaxation.

The structure belongs to space group I-4 (No. 82); the cell edges are 7.4265, 7.4265 and 8.9461 Å and the angles 90.00°, 90.00° and 90.00°. The inequivalent atoms are K at (0.0000, 0.0000, 0.0000), K at (0.0000, 0.5000, 0.2500), Ac at (0.0000, 0.0000, 0.5000), Ti at (0.0000, 0.5000, 0.7500) and S at (0.1963, 0.2742, 0.6564).

As for the calculated volume: 493 Å³/cell. The value obtained for the energy relative to the elements, uncorrected is -11.308 eV per formula unit. The crystal system is tetragonal. The value obtained for the total energy is -5.252 eV per atom.


Entry 3:
DFT (PBE) results for K2Ac2TiS6 after structural relaxation.

The structure belongs to space group C2/m (No. 12); the cell edges are 7.2970, 12.2999 and 7.8589 Å and the angles 90.00°, 107.20° and 90.00°. The inequivalent atoms are K at (0.0000, 0.1657, 0.0000), Ac at (0.0000, 0.3346, 0.5000), Ti at (0.0000, 0.0000, 0.5000), S at (0.2064, 0.1453, 0.6938) and S at (0.2153, 0.0000, 0.3077).

As for the calculated volume: 674 Å³/cell. The value obtained for the energy relative to the elements, uncorrected is -18.048 eV per formula unit. The crystal system is monoclinic. The value obtained for the total energy is -5.556 eV per atom.


Entry 4:
DFT (PBE) results for K4Ac3TlS8 after structural relaxation.

The structure belongs to space group C2/m (No. 12); the cell edges are 15.0852, 8.6449 and 8.9966 Å and the angles 90.00°, 123.85° and 90.00°. The inequivalent atoms are K at (0.0000, 0.0000, 0.0000), K at (0.0000, 0.5000, 0.0000), K at (0.2500, 0.2500, 0.0000), Ac at (0.0000, 0.0000, 0.5000), Ac at (0.2500, 0.2500, 0.5000), Tl at (0.0000, 0.5000, 0.5000), S at (0.0092, 0.2622, 0.2885), S at (0.2377, 0.0000, 0.7154) and S at (0.2385, 0.5000, 0.7187).

As for the calculated volume: 974 Å³/cell. The value obtained for the energy relative to the elements, uncorrected is -24.348 eV per formula unit. The crystal system is monoclinic. The value obtained for the total energy is -4.778 eV per atom.


Entry 5:
DFT (PBE) results for KAcTm4S8 after structural relaxation.

The structure belongs to space group R3m (No. 160, hexagonal axes); the cell edges are 8.1141, 8.1141 and 20.9912 Å and the angles 90.00°, 90.00° and 120.00°. The inequivalent atoms are K at (0.0000, 0.0000, 0.0000), Ac at (0.0000, 0.0000, 0.3647), Tm at (0.0000, 0.0000, 0.7425), Tm at (0.0125, 0.5062, 0.8696), S at (0.0000, 0.0000, 0.1367), S at (0.0000, 0.0000, 0.6116), S at (0.0073, 0.5037, 0.1256) and S at (0.1825, 0.3650, 0.9377).

As for the calculated volume: 1197 Å³/cell. The value obtained for the energy relative to the elements, uncorrected is -26.883 eV per formula unit. The crystal system is trigonal. The value obtained for the total energy is -5.928 eV per atom.


Entry 6:
DFT (PBE) results for KAc2US6 after structural relaxation.

The structure belongs to space group R3 (No. 146, hexagonal axes); the cell edges are 7.4515, 7.4515 and 19.4565 Å and the angles 90.00°, 90.00° and 120.00°. The inequivalent atoms are K at (0.0000, 0.0000, 0.0000), Ac at (0.0000, 0.0000, 0.2733), Ac at (0.0000, 0.0000, 0.7884), U at (0.0000, 0.0000, 0.4769), S at (0.0133, 0.3764, 0.2137) and S at (0.0224, 0.7427, 0.3900).

As for the calculated volume: 936 Å³/cell. The value obtained for the energy relative to the elements, uncorrected is -17.297 eV per formula unit. The crystal system is trigonal. The value obtained for the total energy is -6.266 eV per atom.


Entry 7:
DFT (PBE) results for K3Ac2US6 after structural relaxation.

The structure belongs to space group C2/m (No. 12); the cell edges are 7.4940, 12.9821 and 7.8229 Å and the angles 90.00°, 108.70° and 90.00°. The inequivalent atoms are K at (0.0000, 0.0000, 0.0000), K at (0.0000, 0.3330, 0.0000), Ac at (0.0000, 0.1666, 0.5000), U at (0.0000, 0.5000, 0.5000), S at (0.2283, 0.3419, 0.7106) and S at (0.2459, 0.5000, 0.2906).

As for the calculated volume: 721 Å³/cell. The value obtained for the energy relative to the elements, uncorrected is -20.254 eV per formula unit. The crystal system is monoclinic. The value obtained for the total energy is -5.651 eV per atom.


Entry 8:
DFT (PBE) results for K4Ac3US8 after structural relaxation.

The structure belongs to space group R-3m (No. 166, hexagonal axes); the cell edges are 8.7093, 8.7093 and 22.2447 Å and the angles 90.00°, 90.00° and 120.00°. The inequivalent atoms are K at (0.0000, 0.0000, 0.0000), K at (0.0000, 0.5000, 0.0000), Ac at (0.0000, 0.5000, 0.5000), U at (0.0000, 0.0000, 0.5000), S at (0.0000, 0.0000, 0.2393) and S at (0.0159, 0.5080, 0.2362).

As for the calculated volume: 1461 Å³/cell. The value obtained for the energy relative to the elements, uncorrected is -27.804 eV per formula unit. The crystal system is trigonal. The value obtained for the total energy is -5.552 eV per atom.


Entry 9:
DFT (PBE) results for K3Ac3US8 after structural relaxation.

The structure belongs to space group C2/m (No. 12); the cell edges are 15.0747, 8.7211 and 8.9971 Å and the angles 90.00°, 123.93° and 90.00°. The inequivalent atoms are K at (0.0000, 0.0000, 0.0000), K at (0.2500, 0.2500, 0.0000), Ac at (0.0000, 0.5000, 0.5000), Ac at (0.2500, 0.2500, 0.5000), U at (0.0000, 0.0000, 0.5000), S at (0.0109, 0.2302, 0.3031), S at (0.2187, 0.0000, 0.6967) and S at (0.2385, 0.5000, 0.7153).

As for the calculated volume: 981 Å³/cell. The value obtained for the energy relative to the elements, uncorrected is -26.784 eV per formula unit. The crystal system is monoclinic. The value obtained for the total energy is -5.781 eV per atom.


Entry 10:
DFT (PBE) results for K2AcUS6 after structural relaxation.

The structure belongs to space group P2_1/c (No. 14); the cell edges are 7.4956, 7.6715 and 13.0602 Å and the angles 90.00°, 124.68° and 90.00°. The inequivalent atoms are K at (0.2396, 0.0432, 0.2512), Ac at (0.5000, 0.0000, 0.0000), U at (0.0000, 0.0000, 0.5000), S at (0.1517, 0.2303, 0.9603), S at (0.2376, 0.6932, 0.9660) and S at (0.3011, 0.0203, 0.7313).

As for the calculated volume: 618 Å³/cell. The value obtained for the energy relative to the elements, uncorrected is -13.211 eV per formula unit. The crystal system is monoclinic. The value obtained for the total energy is -5.557 eV per atom.


Entry 11:
DFT (PBE) results for K3Ac3VS8 after structural relaxation.

The structure belongs to space group R-3m (No. 166, hexagonal axes); the cell edges are 8.4559, 8.4559 and 22.5130 Å and the angles 90.00°, 90.00° and 120.00°. The inequivalent atoms are K at (0.0000, 0.5000, 0.0000), Ac at (0.0000, 0.5000, 0.5000), V at (0.0000, 0.0000, 0.5000), S at (0.0000, 0.0000, 0.2403) and S at (0.0509, 0.5255, 0.2290).

As for the calculated volume: 1394 Å³/cell. The value obtained for the energy relative to the elements, uncorrected is -23.576 eV per formula unit. The crystal system is trigonal. The value obtained for the total energy is -5.422 eV per atom.


Entry 12:
DFT (PBE) results for K2AcVS4 after structural relaxation.

The structure belongs to space group I-4 (No. 82); the cell edges are 7.3588, 7.3588 and 9.3045 Å and the angles 90.00°, 90.00° and 90.00°. The inequivalent atoms are K at (0.0000, 0.0000, 0.0000), K at (0.0000, 0.5000, 0.2500), Ac at (0.0000, 0.5000, 0.7500), V at (0.0000, 0.0000, 0.5000) and S at (0.1891, 0.7853, 0.6050).

As for the calculated volume: 504 Å³/cell. The value obtained for the energy relative to the elements, uncorrected is -10.069 eV per formula unit. The crystal system is tetragonal. The value obtained for the total energy is -5.250 eV per atom.


Entry 13:
DFT (PBE) results for K4Ac3YS8 after structural relaxation.

The structure belongs to space group R-3m (No. 166, hexagonal axes); the cell edges are 8.6834, 8.6834 and 22.2528 Å and the angles 90.00°, 90.00° and 120.00°. The inequivalent atoms are K at (0.0000, 0.0000, 0.0000), K at (0.0000, 0.5000, 0.0000), Ac at (0.0000, 0.5000, 0.5000), Y at (0.0000, 0.0000, 0.5000), S at (0.0000, 0.0000, 0.2390) and S at (0.0169, 0.5084, 0.2360).

As for the calculated volume: 1453 Å³/cell. The value obtained for the energy relative to the elements, uncorrected is -30.040 eV per formula unit. The crystal system is trigonal. The value obtained for the total energy is -5.390 eV per atom.


Entry 14:
DFT (PBE) results for K3Ac2YS6 after structural relaxation.

The structure belongs to space group C2/m (No. 12); the cell edges are 7.4648, 12.9327 and 7.8189 Å and the angles 90.00°, 108.60° and 90.00°. The inequivalent atoms are K at (0.0000, 0.0000, 0.0000), K at (0.0000, 0.3342, 0.0000), Ac at (0.0000, 0.1667, 0.5000), Y at (0.0000, 0.5000, 0.5000), S at (0.2273, 0.3426, 0.7096) and S at (0.2450, 0.5000, 0.2920).

As for the calculated volume: 715 Å³/cell. The value obtained for the energy relative to the elements, uncorrected is -22.570 eV per formula unit. The crystal system is monoclinic. The value obtained for the total energy is -5.442 eV per atom.


Entry 15:
DFT (PBE) results for K3Ac3YS8 after structural relaxation.

The structure belongs to space group R-3m (No. 166, hexagonal axes); the cell edges are 8.7274, 8.7274 and 22.3036 Å and the angles 90.00°, 90.00° and 120.00°. The inequivalent atoms are K at (0.0000, 0.5000, 0.0000), Ac at (0.0000, 0.5000, 0.5000), Y at (0.0000, 0.0000, 0.5000), S at (0.0000, 0.0000, 0.2385) and S at (0.0222, 0.5111, 0.2331).

As for the calculated volume: 1471 Å³/cell. The value obtained for the energy relative to the elements, uncorrected is -26.684 eV per formula unit. The crystal system is trigonal. The value obtained for the total energy is -5.452 eV per atom.


Entry 16:
DFT (PBE) results for KAcY4S8 after structural relaxation.

The structure belongs to space group R3m (No. 160, hexagonal axes); the cell edges are 8.2311, 8.2311 and 21.1051 Å and the angles 90.00°, 90.00° and 120.00°. The inequivalent atoms are K at (0.0000, 0.0000, 0.0000), Ac at (0.0000, 0.0000, 0.6335), Y at (0.0000, 0.0000, 0.2563), Y at (0.1728, 0.3455, 0.4624), S at (0.0000, 0.0000, 0.3871), S at (0.0000, 0.0000, 0.8626), S at (0.0334, 0.5167, 0.3927) and S at (0.1714, 0.3427, 0.2071).

As for the calculated volume: 1238 Å³/cell. The value obtained for the energy relative to the elements, uncorrected is -27.126 eV per formula unit. The crystal system is trigonal. The value obtained for the total energy is -6.515 eV per atom.


Entry 17:
DFT (PBE) results for KAcZnS3 after structural relaxation.

The structure belongs to space group P2_1/m (No. 11); the cell edges are 9.1370, 4.2594 and 9.6059 Å and the angles 90.00°, 101.61° and 90.00°. The inequivalent atoms are K at (0.1767, 0.2500, 0.2074), Ac at (0.3418, 0.7500, 0.8364), Zn at (0.0783, 0.2500, 0.6028), S at (0.1142, 0.2500, 0.8466), S at (0.1756, 0.7500, 0.5194) and S at (0.4320, 0.7500, 0.1495).

As for the calculated volume: 366 Å³/cell. The value obtained for the energy relative to the elements, uncorrected is -8.842 eV per formula unit. The crystal system is monoclinic. The value obtained for the total energy is -4.617 eV per atom.


Entry 18:
DFT (PBE) results for KAcSb after structural relaxation.

The structure belongs to space group F-43m (No. 216); the cell edges are 7.9562, 7.9562 and 7.9562 Å and the angles 90.00°, 90.00° and 90.00°. The inequivalent atoms are K at (0.0000, 0.0000, 0.0000), Ac at (0.0000, 0.0000, 0.5000) and Sb at (0.2500, 0.2500, 0.2500).

As for the calculated volume: 504 Å³/cell. The value obtained for the energy relative to the elements, uncorrected is -1.423 eV per formula unit. The crystal system is cubic. The value obtained for the total energy is -3.584 eV per atom.


Entry 19:
DFT (PBE) results for KAcSb after structural relaxation.

The structure belongs to space group I4mm (No. 107); the cell edges are 4.4078, 4.4078 and 15.1914 Å and the angles 90.00°, 90.00° and 90.00°. The inequivalent atoms are K at (0.0000, 0.0000, 0.0000), Ac at (0.0000, 0.0000, 0.2513) and Sb at (0.0000, 0.0000, 0.6785).

As for the calculated volume: 295 Å³/cell. The value obtained for the energy relative to the elements, uncorrected is -1.390 eV per formula unit. The crystal system is tetragonal. The value obtained for the total energy is -3.573 eV per atom.


Entry 20:
DFT (PBE) results for KAcSb after structural relaxation.

The structure belongs to space group P3m1 (No. 156); the cell edges are 5.5409, 5.5409 and 5.2748 Å and the angles 90.00°, 90.00° and 120.00°. The inequivalent atoms are K at (0.0000, 0.0000, 0.0000), Ac at (0.6667, 0.3333, 0.4995) and Sb at (0.3333, 0.6667, 0.4112).

As for the calculated volume: 140 Å³/cell. The value obtained for the energy relative to the elements, uncorrected is -1.069 eV per formula unit. The crystal system is trigonal. The value obtained for the total energy is -3.466 eV per atom.


Entry 21:
DFT (PBE) results for KAcSb4 after structural relaxation.

The structure belongs to space group F-43m (No. 216); the cell edges are 9.1670, 9.1670 and 9.1670 Å and the angles 90.00°, 90.00° and 90.00°. The inequivalent atoms are K at (0.0000, 0.0000, 0.0000), Ac at (0.2500, 0.2500, 0.7500) and Sb at (0.1254, 0.1254, 0.3746).

As for the calculated volume: 770 Å³/cell. The value obtained for the energy relative to the elements, uncorrected is -2.074 eV per formula unit. The crystal system is cubic. The value obtained for the total energy is -3.962 eV per atom.